P) An optimized crystal structure of ScBe2Fe, computed with PBE.

CIF file:
```
data_ScBe2Fe
_chemical_formula_sum 'Sc4 Be8 Fe4'
_cell_length_a 5.796
_cell_length_b 5.796
_cell_length_c 5.796
_cell_angle_alpha 90.00
_cell_angle_beta 90.00
_cell_angle_gamma 90.00
_space_group_name_H-M_alt 'F m -3 m'
_space_group_IT_number 225
_space_group_name_Hall '-F 4 2 3'
loop_
_atom_site_label
_atom_site_fract_x
_atom_site_fract_y
_atom_site_fract_z
Sc1 0.000 0.000 0.000
Be1 0.250 0.250 0.250
Fe1 0.000 0.000 0.500
```

Summary:
Density of states at the Fermi level: 1.143 states/eV/atom

***

Q) An optimized crystal structure of ScBe2Fe, computed with PBE.

CIF file:
```
data_ScBe2Fe
_chemical_formula_sum 'Sc2 Be4 Fe2'
_cell_length_a 3.694
_cell_length_b 3.694
_cell_length_c 6.947
_cell_angle_alpha 90.00
_cell_angle_beta 90.00
_cell_angle_gamma 90.00
_space_group_name_H-M_alt 'I 4/m m m'
_space_group_IT_number 139
_space_group_name_Hall '-I 4 2'
loop_
_atom_site_label
_atom_site_fract_x
_atom_site_fract_y
_atom_site_fract_z
Sc1 0.000 0.000 0.000
Be1 0.000 0.500 0.250
Fe1 0.000 0.000 0.500
```

Summary:
Density of states at the Fermi level: 0.398 states/eV/atom

***

Q: Which of them is the most stable? A: Q).

***

P) An optimized crystal structure of CrCd2Ru, computed with PBE.

CIF file:
```
data_CrCd2Ru
_chemical_formula_sum 'Cr1 Cd2 Ru1'
_cell_length_a 2.882
_cell_length_b 4.762
_cell_length_c 5.149
_cell_angle_alpha 90.00
_cell_angle_beta 97.67
_cell_angle_gamma 90.00
_space_group_name_H-M_alt 'P 1 2/m 1'
_space_group_IT_number 10
loop_
_space_group_symop_operation_xyz
'x,y,z'
'-x,-y,-z'
'-x,y,-z'
'x,-y,z'
loop_
_atom_site_label
_atom_site_fract_x
_atom_site_fract_y
_atom_site_fract_z
Cr1 0.000 0.000 0.000
Cd1 0.255 0.500 0.746
Ru1 0.500 0.000 0.500
```

Summary:
Density of states at the Fermi level: 0.872 states/eV/atom

***

Q) An optimized crystal structure of CrCd2Ru, computed with PBE.

CIF file:
```
data_CrCd2Ru
_chemical_formula_sum 'Cr1 Cd2 Ru1'
_cell_length_a 2.921
_cell_length_b 4.157
_cell_length_c 5.730
_cell_angle_alpha 90.00
_cell_angle_beta 90.00
_cell_angle_gamma 90.00
_space_group_name_H-M_alt 'P m m m'
_space_group_IT_number 47
loop_
_space_group_symop_operation_xyz
'x,y,z'
'-x,-y,-z'
'-x,-y,z'
'x,y,-z'
'x,-y,-z'
'-x,y,z'
'-x,y,-z'
'x,-y,z'
loop_
_atom_site_label
_atom_site_fract_x
_atom_site_fract_y
_atom_site_fract_z
Cr1 0.000 0.000 0.000
Cd1 0.500 0.500 0.254
Ru1 0.000 0.000 0.500
```

Summary:
Density of states at the Fermi level: 0.952 states/eV/atom

***

Q: Which of them is the most stable? A: Q).

***

P) An optimized crystal structure of ZrMnBe2, computed with PBE.

CIF file:
```
data_ZrMnBe2
_chemical_formula_sum 'Zr2 Mn2 Be4'
_cell_length_a 3.278
_cell_length_b 3.939
_cell_length_c 8.279
_cell_angle_alpha 90.00
_cell_angle_beta 90.00
_cell_angle_gamma 90.00
_space_group_name_H-M_alt 'I m m 2'
_space_group_IT_number 44
loop_
_space_group_symop_operation_xyz
'x,y,z'
'-x,-y,z'
'-x,y,z'
'x,-y,z'
'x+1/2,y+1/2,z+1/2'
'-x+1/2,-y+1/2,z+1/2'
'-x+1/2,y+1/2,z+1/2'
'x+1/2,-y+1/2,z+1/2'
loop_
_atom_site_label
_atom_site_fract_x
_atom_site_fract_y
_atom_site_fract_z
Zr1 0.000 0.000 0.000
Mn1 0.000 0.500 0.237
Be1 0.000 0.000 0.427
Be2 0.000 0.500 0.766
```

Summary:
Density of states at the Fermi level: 0.758 states/eV/atom

***

Q) An optimized crystal structure of ZrMnBe2, computed with PBE.

CIF file:
```
data_ZrMnBe2
_chemical_formula_sum 'Zr1 Mn1 Be2'
_cell_length_a 3.731
_cell_length_b 3.731
_cell_length_c 3.766
_cell_angle_alpha 90.00
_cell_angle_beta 90.00
_cell_angle_gamma 90.00
_space_group_name_H-M_alt 'P 4/m m m'
_space_group_IT_number 123
_space_group_name_Hall '-P 4 2'
loop_
_atom_site_label
_atom_site_fract_x
_atom_site_fract_y
_atom_site_fract_z
Zr1 0.000 0.000 0.000
Mn1 0.500 0.500 0.000
Be1 0.000 0.500 0.500
```

Summary:
Density of states at the Fermi level: 0.713 states/eV/atom

***

Q: Which of them is the most stable? A: P).

***

P) An optimized crystal structure of NiBiP3, computed with PBE.

CIF file:
```
data_NiBiP3
_chemical_formula_sum 'Ni1 Bi1 P3'
_cell_length_a 5.208
_cell_length_b 5.208
_cell_length_c 5.208
_cell_angle_alpha 90.00
_cell_angle_beta 90.00
_cell_angle_gamma 90.00
_space_group_name_H-M_alt 'P m -3 m'
_space_group_IT_number 221
_space_group_name_Hall '-P 4 2 3'
loop_
_atom_site_label
_atom_site_fract_x
_atom_site_fract_y
_atom_site_fract_z
Ni1 0.000 0.000 0.000
Bi1 0.500 0.500 0.500
P1 0.000 0.500 0.500
```

Summary:
Density of states at the Fermi level: 1.428 states/eV/atom

***

Q) An optimized crystal structure of NiBiP3, computed with PBE.

CIF file:
```
data_NiBiP3
_chemical_formula_sum 'Ni2 Bi2 P6'
_cell_length_a 3.508
_cell_length_b 7.544
_cell_length_c 8.472
_cell_angle_alpha 90.00
_cell_angle_beta 90.00
_cell_angle_gamma 90.00
_space_group_name_H-M_alt 'I m m 2'
_space_group_IT_number 44
loop_
_space_group_symop_operation_xyz
'x,y,z'
'-x,-y,z'
'-x,y,z'
'x,-y,z'
'x+1/2,y+1/2,z+1/2'
'-x+1/2,-y+1/2,z+1/2'
'-x+1/2,y+1/2,z+1/2'
'x+1/2,-y+1/2,z+1/2'
loop_
_atom_site_label
_atom_site_fract_x
_atom_site_fract_y
_atom_site_fract_z
Ni1 0.000 0.000 0.000
Bi1 0.000 0.000 0.675
P1 0.000 0.303 0.487
P2 0.000 0.500 0.681
```

Summary:
Density of states at the Fermi level: 0.237 states/eV/atom

***

Q: Which of them is the most stable? A: Q).

***

P) An optimized crystal structure of LiSiBr4, computed with PBE.

CIF file:
```
data_LiSiBr4
_chemical_formula_sum 'Li2 Si2 Br8'
_cell_length_a 6.366
_cell_length_b 6.366
_cell_length_c 10.739
_cell_angle_alpha 90.00
_cell_angle_beta 90.00
_cell_angle_gamma 90.00
_space_group_name_H-M_alt 'I -4'
_space_group_IT_number 82
loop_
_space_group_symop_operation_xyz
'x,y,z'
'y,-x,-z'
'-x,-y,z'
'-y,x,-z'
'x+1/2,y+1/2,z+1/2'
'y+1/2,-x+1/2,-z+1/2'
'-x+1/2,-y+1/2,z+1/2'
'-y+1/2,x+1/2,-z+1/2'
loop_
_atom_site_label
_atom_site_fract_x
_atom_site_fract_y
_atom_site_fract_z
Li1 0.000 0.000 0.000
Si1 0.000 0.500 0.250
Br1 0.216 0.270 0.125
```

Summary:
Density of states at the Fermi level: 0.385 states/eV/atom

***

Q) An optimized crystal structure of LiSiBr4, computed with PBE.

CIF file:
```
data_LiSiBr4
_chemical_formula_sum 'Li4 Si4 Br16'
_cell_length_a 9.015
_cell_length_b 9.015
_cell_length_c 9.015
_cell_angle_alpha 90.00
_cell_angle_beta 90.00
_cell_angle_gamma 90.00
_space_group_name_H-M_alt 'F -4 3 m'
_space_group_IT_number 216
_space_group_name_Hall 'F -4 2 3'
loop_
_atom_site_label
_atom_site_fract_x
_atom_site_fract_y
_atom_site_fract_z
Li1 0.000 0.000 0.000
Si1 0.250 0.250 0.750
Br1 0.125 0.125 0.375
```

Summary:
Density of states at the Fermi level: 1.423 states/eV/atom

***

Q: Which of them is the most stable? A: P).

***

P) An optimized crystal structure of GaB2As, computed with PBE.

CIF file:
```
data_GaB2As
_chemical_formula_sum 'Ga2 B4 As2'
_cell_length_a 3.313
_cell_length_b 4.399
_cell_length_c 9.098
_cell_angle_alpha 76.42
_cell_angle_beta 88.79
_cell_angle_gamma 69.34
_space_group_name_H-M_alt 'P 1'
_space_group_IT_number 1
loop_
_space_group_symop_operation_xyz
'x,y,z'
loop_
_atom_site_label
_atom_site_fract_x
_atom_site_fract_y
_atom_site_fract_z
Ga1 0.000 0.000 0.000
Ga2 0.458 0.082 0.769
B1 0.018 0.824 0.469
B2 0.350 0.621 0.642
B3 0.587 0.675 0.469
B4 0.818 0.689 0.641
As1 0.288 0.368 0.136
As2 0.803 0.316 0.345
```

Summary:
Density of states at the Fermi level: 0.198 states/eV/atom

***

Q) An optimized crystal structure of GaB2As, computed with PBE.

CIF file:
```
data_GaB2As
_chemical_formula_sum 'Ga2 B4 As2'
_cell_length_a 4.398
_cell_length_b 5.372
_cell_length_c 5.594
_cell_angle_alpha 117.16
_cell_angle_beta 104.29
_cell_angle_gamma 94.63
_space_group_name_H-M_alt 'P -1'
_space_group_IT_number 2
loop_
_space_group_symop_operation_xyz
'x,y,z'
'-x,-y,-z'
loop_
_atom_site_label
_atom_site_fract_x
_atom_site_fract_y
_atom_site_fract_z
Ga1 0.040 0.177 0.363
B1 0.407 0.820 0.916
B2 0.494 0.536 0.662
As1 0.238 0.698 0.180
```

Summary:
Density of states at the Fermi level: 0.235 states/eV/atom

***

Q: Which of them is the most stable? A: P).

***

P) An optimized crystal structure of GdTm2Ni, computed with PBE.

CIF file:
```
data_GdTm2Ni
_chemical_formula_sum 'Gd1 Tm2 Ni1'
_cell_length_a 3.410
_cell_length_b 3.410
_cell_length_c 8.595
_cell_angle_alpha 90.00
_cell_angle_beta 90.00
_cell_angle_gamma 90.00
_space_group_name_H-M_alt 'P 4/m m m'
_space_group_IT_number 123
_space_group_name_Hall '-P 4 2'
loop_
_atom_site_label
_atom_site_fract_x
_atom_site_fract_y
_atom_site_fract_z
Gd1 0.000 0.000 0.000
Tm1 0.500 0.500 0.316
Ni1 0.000 0.000 0.500
```

Summary:
Density of states at the Fermi level: 1.109 states/eV/atom

***

Q) An optimized crystal structure of GdTm2Ni, computed with PBE.

CIF file:
```
data_GdTm2Ni
_chemical_formula_sum 'Gd3 Tm6 Ni3'
_cell_length_a 3.7255
_cell_length_b 3.7255
_cell_length_c 27.3649
_cell_angle_alpha 90.00
_cell_angle_beta 90.00
_cell_angle_gamma 120.00
_space_group_name_H-M_alt 'R -3 m'
_space_group_IT_number 166
_space_group_name_Hall '-R 3 2"'
loop_
_atom_site_label
_atom_site_fract_x
_atom_site_fract_y
_atom_site_fract_z
Gd1 0.0000 0.0000 0.0000
Tm1 0.0000 0.0000 0.2243
Ni1 0.0000 0.0000 0.5000
```

Summary:
Density of states at the Fermi level: 1.693 states/eV/atom

***

Q: Which of them is the most stable? A: P).

***

P) An optimized crystal structure of BeHgPt3, computed with PBE.

CIF file:
```
data_BeHgPt3
_chemical_formula_sum 'Be4 Hg4 Pt12'
_cell_length_a 5.233
_cell_length_b 13.272
_cell_length_c 5.231
_cell_angle_alpha 90.00
_cell_angle_beta 90.00
_cell_angle_gamma 90.00
_space_group_name_H-M_alt 'C m c m'
_space_group_IT_number 63
_space_group_name_Hall '-C 2c 2'
loop_
_atom_site_label
_atom_site_fract_x
_atom_site_fract_y
_atom_site_fract_z
Be1 0.000 0.144 0.250
Hg1 0.000 0.461 0.250
Pt1 0.000 0.000 0.000
Pt2 0.243 0.225 0.750
```

Summary:
Density of states at the Fermi level: 0.608 states/eV/atom

***

Q) An optimized crystal structure of BeHgPt3, computed with PBE.

CIF file:
```
data_BeHgPt3
_chemical_formula_sum 'Be4 Hg4 Pt12'
_cell_length_a 5.220
_cell_length_b 14.165
_cell_length_c 5.239
_cell_angle_alpha 90.00
_cell_angle_beta 90.00
_cell_angle_gamma 90.00
_space_group_name_H-M_alt 'C m c m'
_space_group_IT_number 63
_space_group_name_Hall '-C 2c 2'
loop_
_atom_site_label
_atom_site_fract_x
_atom_site_fract_y
_atom_site_fract_z
Be1 0.000 0.015 0.250
Hg1 0.000 0.314 0.250
Pt1 0.000 0.500 0.000
Pt2 0.248 0.140 0.250
```

Summary:
Density of states at the Fermi level: 0.675 states/eV/atom

***

Q: Which of them is the most stable? A: P).